Entry 1:
Density functional theory data (GGA-PBE) for a relaxed structure of PuMnPb2.

a = 4.438 Å, b = 4.810 Å, c = 4.810 Å
α = 90.00°, β = 90.00°, γ = 90.00°
Element x y z (fractional)
Pb  0.000  0.000  0.500
Pb  0.000  0.500  0.000
Mn  0.500  0.500  0.500
Pu  0.500  0.000  0.000

Summary:
- raw total energy (eV for the cell shown) = -30.20
- energy relative to the elements (eV/atom) = 0.179
- space group = P4/mmm (123)
- mass density (g cm⁻³) = 11.54

Entry 2:
Density functional theory data (GGA-PBE) for a relaxed structure of SrTiOF2.

a = 4.468 Å, b = 4.468 Å, c = 4.897 Å
α = 90.00°, β = 90.00°, γ = 90.00°
Element x y z (fractional)
Sr  0.000  0.000  0.000
F  0.000  0.500  0.000
F  0.500  0.000  0.000
O  0.000  0.000  0.500
Ti  0.500  0.500  0.500

Summary:
- raw total energy (eV for the cell shown) = -26.23
- excess energy over the best structure of this formula in the dataset (meV per atom) = 1219
- E_form (uncorrected) (eV/atom) = -1.589
- space group = P4/mmm (123)
- mass density (g cm⁻³) = 3.22